1.
PBE Cu2TcSb, optimized geometry; total magnetic moment = 0.00 Bohr magnetons per cell; VASP energy = -21.4 eV/f.u.; formation energy from raw total energies = 0.332 eV per atom
1.0
2.8684 0.0000 0.0000
0.0000 4.2506 0.0000
-0.0345 0.0000 5.1716
Cu Tc Sb
2 1 1
Cartesian
0.0000 0.0000 0.0000
0.2723 2.1253 4.0817
1.5717 0.0000 2.7653
0.1421 2.1253 1.5687



2.
PBE Cu2TcSb, optimized geometry; total magnetic moment = 0.00 Bohr magnetons per cell; VASP energy = -21.9 eV/f.u.; formation energy from raw total energies = 0.204 eV per atom
1.0
3.3044 0.0000 0.0000
0.0000 3.3262 0.0000
0.0000 0.0000 5.5917
Cu Tc Sb
2 1 1
Cartesian
0.0000 0.0000 0.0000
1.6522 1.6631 1.0809
1.6522 1.6631 4.0468
0.0000 0.0000 2.7312



3.
PBE Cu2TcSb, optimized geometry; total magnetic moment = 1.60 Bohr magnetons per cell; VASP energy = -21.3 eV/f.u.; formation energy from raw total energies = 0.346 eV per atom
1.0
-1.9099 1.9099 4.2304
1.9099 -1.9099 4.2304
1.9099 1.9099 -4.2304
Cu Tc Sb
2 1 1
Cartesian
1.9099 0.0000 2.1152
0.0000 1.9099 2.1152
0.0000 0.0000 0.0000
0.0000 0.0000 4.2304



4.
PBE CuTcSb, optimized geometry; total magnetic moment = 0.00 Bohr magnetons per cell; VASP energy = -18.1 eV/f.u.; offset from the most stable computed form = 88 meV/atom; formation energy from raw total energies = 0.163 eV per atom
1.0
5.0793 -1.5908 0.0000
5.0793 1.5908 0.0000
-2.1083 0.0000 6.5536
Cu Tc Sb
2 2 2
Cartesian
0.2829 0.0000 1.7510
7.7675 0.0000 4.8027
3.8226 0.0000 0.1928
4.2277 0.0000 6.3608
0.3015 0.0000 4.4549
7.7489 0.0000 2.0988



5.
PBE CuTcSb, optimized geometry; total magnetic moment = 0.00 Bohr magnetons per cell; VASP energy = -18.1 eV/f.u.; offset from the most stable computed form = 84 meV/atom; formation energy from raw total energies = 0.159 eV per atom
1.0
2.1033 1.2143 7.2256
-2.1033 1.2143 7.2256
0.0000 -2.4287 7.2256
Cu Tc Sb
2 2 2
Cartesian
0.0000 0.0000 0.0000
0.0000 0.0000 8.3233
0.0000 0.0000 11.0037
0.0000 0.0000 18.9813
0.0000 0.0000 5.7261
0.0000 0.0000 16.3213



6.
PBE Cu2TcSb, optimized geometry; total magnetic moment = 0.00 Bohr magnetons per cell; VASP energy = -21.8 eV/f.u.; formation energy from raw total energies = 0.217 eV per atom
1.0
3.8754 0.0000 0.0000
0.0000 3.8754 0.0000
0.0000 0.0000 3.9869
Cu Tc Sb
2 1 1
Cartesian
0.0000 1.9377 0.0000
1.9377 0.0000 0.0000
0.0000 0.0000 1.9934
1.9377 1.9377 1.9934



7.
PBE CuTcSb, optimized geometry; total magnetic moment = 0.00 Bohr magnetons per cell; VASP energy = -17.4 eV/f.u.; offset from the most stable computed form = 329 meV/atom; formation energy from raw total energies = 0.405 eV per atom
1.0
4.2931 0.0000 0.0000
-2.1466 3.7179 0.0000
0.0000 0.0000 3.0532
Cu Tc Sb
1 1 1
Cartesian
0.0000 0.0000 0.0000
0.0000 2.4786 1.6415
2.1466 1.2393 0.5453



8.
PBE Cu2TcSb, optimized geometry; total magnetic moment = 0.40 Bohr magnetons per cell; VASP energy = -21.1 eV/f.u.; formation energy from raw total energies = 0.397 eV per atom
1.0
2.8899 0.0000 0.0000
0.0000 4.3239 0.0000
-1.1454 0.0000 5.0414
Cu Tc Sb
2 1 1
Cartesian
0.0951 0.0000 1.1757
1.6494 0.0000 3.8657
1.4450 2.1619 0.0000
-0.5727 2.1619 2.5207



9.
PBE Cu2TcSb2, optimized geometry; total magnetic moment = 0.00 Bohr magnetons per cell; VASP energy = -25.6 eV/f.u.; formation energy from raw total energies = 0.245 eV per atom
1.0
-1.6715 1.6715 7.9638
1.6715 -1.6715 7.9638
1.6715 1.6715 -7.9638
Cu Tc Sb
2 1 2
Cartesian
1.6715 0.0000 3.9819
0.0000 1.6715 3.9819
0.0000 0.0000 0.0000
0.0000 0.0000 6.3459
0.0000 0.0000 9.5817



10.
PBE CuTcSb3, optimized geometry; total magnetic moment = 0.00 Bohr magnetons per cell; VASP energy = -23.2 eV/f.u.; offset from the most stable computed form = 0 meV/atom; formation energy from raw total energies = 0.727 eV per atom
1.0
5.1389 0.0000 0.0000
0.0000 5.1389 0.0000
0.0000 0.0000 5.1389
Cu Tc Sb
1 1 3
Cartesian
0.0000 0.0000 0.0000
2.5695 2.5695 2.5695
0.0000 2.5695 2.5695
2.5695 0.0000 2.5695
2.5695 2.5695 0.0000



11.
PBE CuTcSb, optimized geometry; total magnetic moment = 0.00 Bohr magnetons per cell; VASP energy = -18.1 eV/f.u.; offset from the most stable computed form = 74 meV/atom; formation energy from raw total energies = 0.150 eV per atom
1.0
3.6540 -2.0973 0.0000
3.6540 2.0973 0.0000
-2.4741 0.0000 7.3051
Cu Tc Sb
2 2 2
Cartesian
1.1999 0.0000 0.6875
3.6341 0.0000 6.6175
1.1941 0.0000 3.3426
3.6399 0.0000 3.9625
-1.2455 0.0000 5.4130
6.0795 0.0000 1.8921



12.
PBE CuTc4Sb, optimized geometry; total magnetic moment = 0.00 Bohr magnetons per cell; VASP energy = -46.4 eV/f.u.; formation energy from raw total energies = 0.554 eV per atom
1.0
0.0000 3.6595 3.6595
3.6595 0.0000 3.6595
3.6595 3.6595 0.0000
Cu Tc Sb
1 4 1
Cartesian
0.0000 0.0000 0.0000
2.7408 2.7408 2.7408
4.5782 4.5782 2.7408
4.5782 2.7408 4.5782
2.7408 4.5782 4.5782
5.4893 5.4893 5.4893